No. 1
The following is a DFT calculation (PBE) of crystalline NaVIn2Cl5 at its relaxed geometry.

abc: 3.827 8.617 15.582
angles: 90.00 90.00 102.83
Each line ends with the local moment (μB).
Fractional positions:
Na 0.499 0.999 0.957  0.00
Na 0.501 0.001 0.457  0.00
V 0.804 0.608 0.520  2.60
V 0.196 0.392 0.020  2.60
In 0.819 0.638 0.805  0.01
In 0.073 0.147 0.696  0.01
In 0.181 0.362 0.305  0.01
In 0.927 0.853 0.196  0.01
Cl 0.334 0.668 0.961  -0.01
Cl 0.663 0.325 0.918  -0.02
Cl 0.472 0.944 0.785  0.00
Cl 0.273 0.547 0.617  -0.02
Cl 0.949 0.899 0.565  -0.01
Cl 0.666 0.332 0.461  -0.01
Cl 0.337 0.675 0.418  -0.02
Cl 0.528 0.056 0.285  0.00
Cl 0.727 0.453 0.117  -0.02
Cl 0.051 0.101 0.065  -0.01

Values from the calculation:
As for the total energy: -3.89 eV/atom. The calculation puts the formation energy from raw total energies at -1.095 eV/atom.

No. 2
The following is a DFT calculation (PBE) of crystalline NaYIn2Cl6 at its relaxed geometry.

abc: 7.321 7.720 10.554
angles: 90.00 89.25 90.00
Fractional positions:
Na 0.500 0.000 0.000
Na 0.000 0.500 0.500
Y 0.500 0.000 0.500
Y 0.000 0.500 0.000
In 0.017 0.931 0.256
In 0.517 0.569 0.756
In 0.983 0.069 0.744
In 0.483 0.431 0.244
Cl 0.297 0.689 0.042
Cl 0.797 0.811 0.542
Cl 0.703 0.311 0.958
Cl 0.203 0.189 0.458
Cl 0.312 0.714 0.449
Cl 0.812 0.786 0.949
Cl 0.688 0.286 0.551
Cl 0.188 0.214 0.051
Cl 0.903 0.528 0.243
Cl 0.403 0.972 0.743
Cl 0.097 0.472 0.757
Cl 0.597 0.028 0.257

Values from the calculation:
As for the total energy: -4.05 eV/atom. The calculation puts the formation energy from raw total energies at -1.620 eV/atom.

No. 3
The following is a DFT calculation (PBE) of crystalline NaZnInCl4 at its relaxed geometry.

abc: 6.886 7.149 8.515
angles: 90.00 106.75 90.00
Fractional positions:
Na 0.783 0.750 0.443
Na 0.217 0.250 0.557
Zn 0.242 0.750 0.324
Zn 0.758 0.250 0.676
In 0.745 0.750 0.924
In 0.255 0.250 0.076
Cl 0.979 0.498 0.719
Cl 0.021 0.998 0.281
Cl 0.021 0.502 0.281
Cl 0.979 0.002 0.719
Cl 0.440 0.750 0.151
Cl 0.560 0.250 0.849
Cl 0.454 0.750 0.585
Cl 0.546 0.250 0.415

Values from the calculation:
As for the total energy: -3.06 eV/atom. The calculation puts the formation energy from raw total energies at -1.239 eV/atom.

No. 4
The following is a DFT calculation (PBE) of crystalline NaZn2InCl6 at its relaxed geometry.

abc: 6.716 9.388 9.388
angles: 89.82 84.27 84.27
Fractional positions:
Na 0.250 0.294 0.706
Na 0.750 0.706 0.294
Zn 0.225 0.787 0.617
Zn 0.275 0.383 0.213
Zn 0.775 0.213 0.383
Zn 0.725 0.617 0.787
In 0.250 0.899 0.101
In 0.750 0.101 0.899
Cl 0.186 0.978 0.766
Cl 0.314 0.234 0.022
Cl 0.814 0.022 0.234
Cl 0.686 0.766 0.978
Cl 0.382 0.833 0.402
Cl 0.118 0.598 0.167
Cl 0.618 0.167 0.598
Cl 0.882 0.402 0.833
Cl 0.904 0.714 0.586
Cl 0.596 0.414 0.286
Cl 0.096 0.286 0.414
Cl 0.404 0.586 0.714

Values from the calculation:
As for the total energy: -2.97 eV/atom. The calculation puts the formation energy from raw total energies at -1.203 eV/atom.